[1]
# PmAs3O9

An optimized crystal structure of PmAs3O9 (GGA-PBE, Alexandria via LeMat-Bulk).

Calculated values
**Energy relative to the elements, uncorrected**: -1.63 eV/atom
**DOS(E_F)**: 0.00 states/eV/f.u.
**Crystal system**: orthorhombic

Cell lengths 8.9844, 11.7391, 7.6354 Å; angles 90.00, 90.00, 90.00 degrees
Space group C222_1 (No. 20)
Asymmetric unit:
Pm 0.1169 0.0000 0.0000 (multiplicity 4)
As 0.0232 0.3222 0.4587 (multiplicity 8)
As 0.2492 0.5000 0.0000 (multiplicity 4)
O 0.0000 0.3880 0.2500 (multiplicity 4)
O 0.0046 0.1825 0.0413 (multiplicity 8)
O 0.1334 0.3857 0.9326 (multiplicity 8)
O 0.1426 0.0232 0.6776 (multiplicity 8)
O 0.1815 0.3734 0.5396 (multiplicity 8)


[2]
# ThZn9Ag2

An optimized crystal structure of ThZn9Ag2 (GGA-PBE, Alexandria via LeMat-Bulk).

Calculated values
**Energy relative to the elements**: -0.084 eV/atom
**DOS(E_F)**: 5.19 states/eV/f.u.
**Crystal system**: trigonal

Cell lengths 5.3119, 5.3119, 24.9410 Å; angles 90.00, 90.00, 120.00 degrees
Space group R-3m (No. 166, hexagonal axes)
Asymmetric unit:
Th 0.0000 0.0000 0.0000 (multiplicity 3)
Zn 0.0000 0.0000 0.3340 (multiplicity 6)
Zn 0.0000 0.0000 0.5000 (multiplicity 3)
Zn 0.0070 0.5035 0.9129 (multiplicity 18)
Ag 0.0000 0.0000 0.1367 (multiplicity 6)


[3]
# La6HRu2Br3

An optimized crystal structure of La6HRu2Br3 (GGA-PBE, Alexandria via LeMat-Bulk).

Calculated values
**Total energy**: -5.64 eV/atom
**DOS(E_F)**: 4.48 states/eV/f.u.
**Crystal system**: monoclinic

Cell lengths 7.0588, 12.2317, 8.3156 Å; angles 90.00, 106.51, 90.00 degrees
Space group C2/m (No. 12)
Asymmetric unit:
La 0.2287 0.0000 0.1960 (multiplicity 4)
La 0.2336 0.3318 0.1960 (multiplicity 8)
H 0.0000 0.5000 0.0000 (multiplicity 2)
Ru 0.0000 0.1664 0.0000 (multiplicity 4)
Br 0.0000 0.0000 0.5000 (multiplicity 2)
Br 0.0000 0.3286 0.5000 (multiplicity 4)


[4]
# Pm2PrInAu4

An optimized crystal structure of Pm2PrInAu4 (GGA-PBE, Alexandria via LeMat-Bulk).

Calculated values
**Energy relative to the elements**: -0.734 eV/atom
**DOS(E_F)**: 5.88 states/eV/f.u.
**Crystal system**: trigonal

Cell lengths 5.1660, 5.1660, 25.4796 Å; angles 90.00, 90.00, 120.00 degrees
Space group R-3m (No. 166, hexagonal axes)
Asymmetric unit:
Pm 0.0000 0.0000 0.2398 (multiplicity 6)
Pr 0.0000 0.0000 0.0000 (multiplicity 3)
In 0.0000 0.0000 0.5000 (multiplicity 3)
Au 0.0000 0.0000 0.1192 (multiplicity 6)
Au 0.0000 0.0000 0.3667 (multiplicity 6)


[5]
# TaMnPt4

An optimized crystal structure of TaMnPt4 (GGA-PBE, Alexandria via LeMat-Bulk).

Calculated values
**Energy relative to the elements**: -0.327 eV/atom
**DOS(E_F)**: 3.38 states/eV/f.u.
**Crystal system**: monoclinic

Cell lengths 8.0569, 4.0316, 7.7158 Å; angles 90.00, 119.34, 90.00 degrees
Space group C2/m (No. 12)
Asymmetric unit:
Ta 0.0000 0.0000 0.0000 (multiplicity 2)
Mn 0.0000 0.0000 0.5000 (multiplicity 2)
Pt 0.2457 0.5000 0.1257 (multiplicity 4)
Pt 0.2471 0.5000 0.6200 (multiplicity 4)


[6]
# Ba2GeI

An optimized crystal structure of Ba2GeI (GGA-PBE, Alexandria via LeMat-Bulk).

Calculated values
**Energy relative to the elements, uncorrected**: -0.93 eV/atom
**DOS(E_F)**: 3.61 states/eV/f.u.
**Crystal system**: trigonal

Cell lengths 4.7432, 4.7432, 27.0423 Å; angles 90.00, 90.00, 120.00 degrees
Space group R3m (No. 160, hexagonal axes)
Asymmetric unit:
Ba 0.0000 0.0000 0.0000 (multiplicity 3)
Ba 0.0000 0.0000 0.1909 (multiplicity 3)
Ge 0.0000 0.0000 0.5951 (multiplicity 3)
I 0.0000 0.0000 0.7635 (multiplicity 3)